A relaxed structure of Tb2SmHo4Er2. Source: Alexandria via LeMat-Bulk, functional PBE-GGA.

Values from the calculation:
Calculated formation energy: 0 meV per atom

The structure in CIF format:
```
data_Tb2SmHo4Er2
_cell_length_a 18.533
_cell_length_b 3.571
_cell_length_c 9.485
_cell_angle_alpha 90.00
_cell_angle_beta 115.73
_cell_angle_gamma 90.00
_space_group_name_H-M_alt 'C 1 2/m 1'
_space_group_IT_number 12
_space_group_name_Hall '-C 2y'
loop_
_atom_site_label
_atom_site_fract_x
_atom_site_fract_y
_atom_site_fract_z
_atom_site_occupancy
Tb1 0.148 0.000 0.166 1
Sm1 0.000 0.000 0.500 1
Ho1 0.019 0.500 0.834 1
Ho2 0.186 0.000 0.835 1
Er1 0.168 0.500 0.501 1
```


A relaxed structure of Pu6P5Cl. Source: Alexandria via LeMat-Bulk, functional PBE-GGA.

Values from the calculation:
Formation energy (no corrections): -1209 meV/atom

The structure in CIF format:
```
data_Pu6P5Cl
_cell_length_a 6.966
_cell_length_b 12.059
_cell_length_c 6.962
_cell_angle_alpha 90.00
_cell_angle_beta 109.45
_cell_angle_gamma 90.00
_space_group_name_H-M_alt 'C 1 2/m 1'
_space_group_IT_number 12
_space_group_name_Hall '-C 2y'
loop_
_atom_site_label
_atom_site_fract_x
_atom_site_fract_y
_atom_site_fract_z
_atom_site_occupancy
Pu1 0.244 0.000 0.254 1
Pu2 0.244 0.170 0.745 1
P1 0.000 0.000 0.500 1
P2 0.000 0.167 0.000 1
P3 0.000 0.337 0.500 1
Cl1 0.000 0.500 0.000 1
```


A relaxed structure of TcRu2Pb. Source: Alexandria via LeMat-Bulk, functional PBE-GGA.

Values from the calculation:
Calculated formation energy: 459 meV per atom

The structure in CIF format:
```
data_TcRu2Pb
_cell_length_a 2.901
_cell_length_b 3.794
_cell_length_c 5.993
_cell_angle_alpha 90.00
_cell_angle_beta 90.47
_cell_angle_gamma 90.00
_space_group_name_H-M_alt 'P 1 2/m 1'
_space_group_IT_number 10
_space_group_name_Hall '-P 2y'
loop_
_atom_site_label
_atom_site_fract_x
_atom_site_fract_y
_atom_site_fract_z
_atom_site_occupancy
Tc1 0.000 0.000 0.000 1
Ru1 0.500 0.500 0.219 1
Pb1 0.000 0.000 0.500 1
```


A relaxed structure of Pm8CSe3S3. Source: Alexandria via LeMat-Bulk, functional PBE-GGA.

Values from the calculation:
Formation energy (no corrections): -1604 meV/atom

The structure in CIF format:
```
data_Pm8CSe3S3
_cell_length_a 8.1068
_cell_length_b 8.1068
_cell_length_c 20.3475
_cell_angle_alpha 90.00
_cell_angle_beta 90.00
_cell_angle_gamma 120.00
_space_group_name_H-M_alt 'R -3 m'
_space_group_IT_number 166
_space_group_name_Hall '-R 3 2"'
loop_
_atom_site_label
_atom_site_fract_x
_atom_site_fract_y
_atom_site_fract_z
_atom_site_occupancy
Pm1 0.0000 0.0000 0.2427 1
Pm2 0.0276 0.5138 0.2383 1
C1 0.0000 0.0000 0.5000 1
Se1 0.0000 0.5000 0.0000 1
S1 0.0000 0.5000 0.5000 1
```


no.,total magnetic moment (μB per formula unit),energy (eV/cell)
1,0.00,-82.83
2,31.56,-258.80
3,0.00,-30.79
4,0.48,-282.40